[1]
! Ba2InOs | Alexandria | GGA-PBEsol | relaxed; values from VASP
&SYSTEM
  ibrav = 0, nat = 4, ntyp = 3
/
ATOMIC_SPECIES
Ba 137.33 Ba.upf
Os 190.23 Os.upf
In 114.82 In.upf
CELL_PARAMETERS angstrom
3.623 0.000 0.000
0.000 3.623 0.000
0.000 0.000 9.681
ATOMIC_POSITIONS crystal
Ba 0.500 0.500 0.334
Ba 0.000 0.000 0.907
Os 0.500 0.500 0.687
In 0.000 0.000 0.572
! size of the total moment: 0.01 μB per formula unit
! E_form: 0.36 eV per atom


[2]
! LaCd2InSe | Alexandria | GGA-PBEsol | relaxed; values from VASP
&SYSTEM
  ibrav = 0, nat = 5, ntyp = 4
/
ATOMIC_SPECIES
Cd 112.41 Cd.upf
In 114.82 In.upf
La 138.91 La.upf
Se 78.96 Se.upf
CELL_PARAMETERS angstrom
-5.823 0.136 0.657
0.634 -0.771 5.776
0.229 6.031 0.779
ATOMIC_POSITIONS crystal
Cd 0.000 0.500 0.000
Cd 0.500 0.000 0.000
In 0.000 0.000 0.500
La 0.000 0.000 0.000
Se 0.500 0.500 0.500
! size of the total moment: 0.00 μB per formula unit
! formation energy (no corrections): 0.928 eV per atom


Q: Look up the size of the total moment of the first one.
A: 0.01 μB per formula unit